# PaTlFeO6, relaxed, DFT GGA+U
# Uncorrected energy, eV per cell: -62.12
# Total moment, μB per cell: 2.00
data_PaTlFeO6
_space_group_name_H-M_alt 'P 3 1 2'
_space_group_IT_number 149
_cell_length_a 5.3332
_cell_length_b 5.3332
_cell_length_c 4.7529
_cell_angle_alpha 90.00
_cell_angle_beta 90.00
_cell_angle_gamma 120.00
loop_
_space_group_symop_operation_xyz
'x,y,z'
'-y,x-y,z'
'-x+y,-x,z'
'-y,-x,-z'
'-x+y,y,-z'
'x,x-y,-z'
loop_
_atom_site_label
_atom_site_type_symbol
_atom_site_fract_x
_atom_site_fract_y
_atom_site_fract_z
_atom_site_occupancy
Pa1 Pa 0.0000 0.0000 0.0000 1
Tl1 Tl 0.3333 0.6667 0.5000 1
Fe1 Fe 0.6667 0.3333 0.5000 1
O1 O 0.3599 0.0467 0.7347 1